No. 1
VASP calculation (GGA-PBE) on a relaxed Sr4SI5 crystal.

a = 4.5862 Å, b = 9.0624 Å, c = 10.3391 Å
α = 103.21°, β = 102.81°, γ = 90.00°
Closest atoms and distances in Å follow each position.
Element x y z (fractional)
Sr 0.6546 0.0850 0.3093  1 S 3.03, 4 I 3.25-3.33
Sr 0.0002 0.2236 0.0005  2 S 3.06, 4 I 3.26-3.40
Sr 0.3454 0.9150 0.6907  1 S 3.03, 4 I 3.25-3.33
Sr 0.9998 0.7764 0.9995  2 S 3.06, 4 I 3.26-3.40
S 0.5000 0.0000 0.0000  6 Sr 3.03-3.06
I 0.1657 0.3441 0.3313  3 Sr 3.25-3.26
I 0.1695 0.8289 0.3390  4 Sr 3.33-3.45
I 0.8305 0.1711 0.6610  4 Sr 3.33-3.45
I 0.5000 0.5000 0.0000  4 Sr 3.40
I 0.8343 0.6559 0.6687  3 Sr 3.25-3.26

Computed properties:
Formation energy from raw total energies   -1651 meV/atom

No. 2
VASP calculation (GGA-PBE) on a relaxed SrS3I crystal.

a = 5.5992 Å, b = 5.5992 Å, c = 5.5992 Å
α = 90.00°, β = 90.00°, γ = 90.00°
Closest atoms and distances in Å follow each position.
Element x y z (fractional)
I 0.5000 0.5000 0.5000  12 S 3.96
Sr 0.0000 0.0000 0.0000  6 S 2.80
S 0.0000 0.5000 0.0000  2 Sr 2.80
S 0.0000 0.0000 0.5000  2 Sr 2.80
S 0.5000 0.0000 0.0000  2 Sr 2.80

Computed properties:
Formation energy from raw total energies   467 meV/atom
Energy relative to the lowest polymorph listed for this composition   1.277 eV/atom

No. 3
VASP calculation (GGA-PBE) on a relaxed SrS3I crystal.

a = 5.1404 Å, b = 5.1404 Å, c = 5.1404 Å
α = 90.00°, β = 90.00°, γ = 90.00°
Closest atoms and distances in Å follow each position.
Element x y z (fractional)
I 0.0000 0.0000 0.0000  6 S 2.57
Sr 0.5000 0.5000 0.5000  12 S 3.63
S 0.0000 0.5000 0.0000  2 I 2.57
S 0.0000 0.0000 0.5000  2 I 2.57
S 0.5000 0.0000 0.0000  2 I 2.57

Computed properties:
Formation energy from raw total energies   -264 meV/atom
Energy relative to the lowest polymorph listed for this composition   0.547 eV/atom